VASP calculation (PBE with a Hubbard U) on MnCdIn4O8 after structural relaxation.

a b c (Å): 6.5637 6.5637 6.4141
angles (deg): 59.23 59.23 60.00
Closest atoms and distances in Å follow each position.
Fractional coordinates of all 14 atoms:
Cd 0.3800 0.3800 0.8600  4 O 2.20-2.23
O 0.2245 0.2245 0.7550  1 Mn 2.05, 2 In 2.20, 1 Cd 2.23
In 0.6209 0.6209 0.1373  4 O 2.14-2.19
O 0.7961 0.2245 0.7550  1 Mn 2.05, 2 In 2.20, 1 Cd 2.23
O 0.2123 0.7718 0.2441  1 Mn 2.11, 3 In 2.19-2.24
O 0.2245 0.7961 0.7550  1 Mn 2.05, 2 In 2.20, 1 Cd 2.23
O 0.7718 0.2123 0.2441  1 Mn 2.11, 3 In 2.19-2.24
Mn 0.0014 0.0014 0.9958  6 O 2.05-2.11
O 0.7589 0.7589 0.7233  4 In 2.14-2.23
In 0.4973 0.0012 0.5003  6 O 2.19-2.24
In 0.0012 0.0012 0.5003  6 O 2.19-2.24
O 0.7718 0.7718 0.2441  1 Mn 2.11, 3 In 2.19-2.24
O 0.2383 0.2383 0.2852  3 In 2.19, 1 Cd 2.20
In 0.0012 0.4973 0.5003  6 O 2.19-2.24

## Properties
The calculation puts the raw total energy at -5.5723 eV per atom. The calculation puts the density of states at the Fermi level at 1.69 states/eV/cell. Its calculated density is 6490 kg/m3.